1.
# PBE BaLiV, relaxed
data_BaLiV
_space_group_name_H-M_alt 'P 1'
_space_group_IT_number 1
_space_group_name_Hall 'P 1'
_cell_length_a 4.3686
_cell_length_b 5.9294
_cell_length_c 7.2486
_cell_angle_alpha 90.00
_cell_angle_beta 88.95
_cell_angle_gamma 90.00
loop_
_atom_site_label
_atom_site_fract_x
_atom_site_fract_y
_atom_site_fract_z
Ba1 0.4112 0.0000 0.4788
Ba2 0.9180 0.0000 0.0064
Li1 0.5248 0.5000 0.9120
Li2 0.0371 0.5000 0.6231
V1 0.6736 0.5000 0.2974
V2 0.0793 0.5000 0.2270
# - Total magnetic moment: 0.0 μB per formula unit
# - Volume: 31.3 Å³/atom
# - Total energy: -3.803 eV/atom
# - Energy above the most stable polymorph in this dataset: 0.057 eV/atom
# - ΔE_f: 1.55 eV per formula unit

***

2.
# PBE Ba2LiV, relaxed
data_Ba2LiV
_space_group_name_H-M_alt 'P 1'
_space_group_IT_number 1
_space_group_name_Hall 'P 1'
_cell_length_a 9.2004
_cell_length_b 9.2004
_cell_length_c 7.4814
_cell_angle_alpha 52.06
_cell_angle_beta 52.06
_cell_angle_gamma 90.00
loop_
_atom_site_label
_atom_site_fract_x
_atom_site_fract_y
_atom_site_fract_z
Ba1 0.1215 0.6250 0.2500
Ba2 0.6285 0.1250 0.2500
Ba3 0.3750 0.3715 0.7500
Ba4 0.8750 0.8785 0.7500
V1 0.0000 0.0000 0.0000
V2 0.7500 0.2500 0.5000
Li1 0.5000 0.5000 0.0000
Li2 0.2500 0.7500 0.5000
# - Total magnetic moment: 4.5 μB per formula unit
# - Volume: 39.1 Å³/atom
# - Total energy: -2.959 eV/atom
# - Energy above the most stable polymorph in this dataset: 0.228 eV/atom
# - ΔE_f: 3.04 eV per formula unit

***

3.
# PBE BaLi2W, relaxed
data_BaLi2W
_space_group_name_H-M_alt 'P 1'
_space_group_IT_number 1
_space_group_name_Hall 'P 1'
_cell_length_a 5.5618
_cell_length_b 5.5618
_cell_length_c 2.9114
_cell_angle_alpha 90.00
_cell_angle_beta 90.00
_cell_angle_gamma 112.06
loop_
_atom_site_label
_atom_site_fract_x
_atom_site_fract_y
_atom_site_fract_z
Ba1 0.0000 0.5000 0.5000
W1 0.5000 0.0000 0.5000
Li1 0.5000 0.5000 0.0000
Li2 0.0000 0.0000 0.0000
# - Total magnetic moment: 0.0 μB per formula unit
# - Volume: 20.9 Å³/atom
# - Total energy: -3.686 eV/atom
# - Energy above the most stable polymorph in this dataset: 0.171 eV/atom
# - ΔE_f: 3.96 eV per formula unit